1.
Density functional theory data (GGA-PBE) for a relaxed ScTc4Hg crystal.

abc: 5.2412 5.2412 5.2412
angles: 60.00 60.00 60.00
Closest atoms and distances in Å follow each position.
Fractional coordinates of all 6 atoms:
1 Sc 0.0000 0.0000 0.0000  12 Tc 3.07, 4 Hg 3.21
2 Tc 0.8728 0.3757 0.3757  6 Tc 2.60-2.64
3 Tc 0.3757 0.3757 0.8728  6 Tc 2.60-2.64
4 Tc 0.3757 0.8728 0.3757  6 Tc 2.60-2.64
5 Tc 0.3757 0.3757 0.3757  6 Tc 2.60-2.64
6 Hg 0.7500 0.7500 0.7500  12 Tc 3.07, 4 Sc 3.21

Results
formation enthalpy at 0 K = 114 meV/atom
DOS at the Fermi energy = 5.5 states/eV/cell


2.
Density functional theory data (GGA-PBE) for a relaxed ScTcHg2 crystal.

abc: 4.7687 4.7687 4.7687
angles: 60.00 60.00 60.00
Closest atoms and distances in Å follow each position.
Fractional coordinates of all 4 atoms:
1 Sc 0.0000 0.0000 0.0000  8 Hg 2.92
2 Hg 0.2500 0.2500 0.2500  4 Tc 2.92, 4 Sc 2.92
3 Hg 0.7500 0.7500 0.7500  4 Tc 2.92, 4 Sc 2.92
4 Tc 0.5000 0.5000 0.5000  8 Hg 2.92

Results
formation enthalpy at 0 K = 174 meV/atom
E above lowest polymorph = 133 meV per atom
DOS at the Fermi energy = 4.9 states/eV/cell